1.
A plane-wave DFT calculation with PBE was carried out for a relaxed Dy3Y2Er6Sc crystal.

abc: 6.077 10.512 11.623
angles: 90.00 100.00 90.00
Space group C2/m (No. 12)
One atom of each set of equivalent atoms:
Dy1 0.000 0.000 0.000 [2 per cell]
Dy2 0.000 0.334 0.000 [4 per cell]
Y1 0.000 0.167 0.500 [4 per cell]
Er1 0.248 0.335 0.748 [8 per cell]
Er2 0.248 0.500 0.252 [4 per cell]
Sc1 0.000 0.500 0.500 [2 per cell]

2.
A plane-wave DFT calculation with PBE was carried out for a relaxed Dy2YEr2Sc crystal.

abc: 6.887 9.520 5.498
angles: 90.00 90.00 90.00
Space group Pnnm (No. 58)
One atom of each set of equivalent atoms:
Dy1 0.247 0.167 0.000 [4 per cell]
Y1 0.000 0.500 0.000 [2 per cell]
Er1 0.248 0.834 0.000 [4 per cell]
Sc1 0.000 0.000 0.500 [2 per cell]

3.
A plane-wave DFT calculation with PBE was carried out for a relaxed Dy2YEr5Sc crystal.

abc: 5.502 19.783 10.257
angles: 90.00 90.00 90.00
Space group Cmc2_1 (No. 36)
One atom of each set of equivalent atoms:
Dy1 0.000 0.111 0.000 [4 per cell]
Dy2 0.000 0.115 0.422 [4 per cell]
Y1 0.000 0.409 0.142 [4 per cell]
Er1 0.000 0.017 0.705 [4 per cell]
Er2 0.000 0.275 0.007 [4 per cell]
Er3 0.000 0.300 0.393 [4 per cell]
Er4 0.000 0.378 0.708 [4 per cell]
Er5 0.000 0.481 0.427 [4 per cell]
Sc1 0.000 0.196 0.702 [4 per cell]

4.
A plane-wave DFT calculation with PBE was carried out for a relaxed DyY6ErSc2 crystal.

abc: 9.003 14.700 9.421
angles: 90.00 97.80 90.00
Space group C2/c (No. 15)
One atom of each set of equivalent atoms:
Dy1 0.000 0.093 0.250 [4 per cell]
Y1 0.063 0.321 0.446 [8 per cell]
Y2 0.098 0.103 0.616 [8 per cell]
Y3 0.210 0.274 0.819 [8 per cell]
Er1 0.000 0.473 0.750 [4 per cell]
Sc1 0.246 0.448 0.049 [8 per cell]

5.
A plane-wave DFT calculation with PBE was carried out for a relaxed DyY3Er6Sc2 crystal.

abc: 6.045 10.457 11.552
angles: 90.00 100.02 90.00
Space group C2/m (No. 12)
One atom of each set of equivalent atoms:
Dy1 0.000 0.000 0.000 [2 per cell]
Y1 0.000 0.167 0.500 [4 per cell]
Y2 0.000 0.500 0.500 [2 per cell]
Er1 0.246 0.500 0.243 [4 per cell]
Er2 0.250 0.168 0.244 [8 per cell]
Sc1 0.000 0.333 0.000 [4 per cell]

6.
A plane-wave DFT calculation with PBE was carried out for a relaxed Dy2Y5ErSc crystal.

abc: 5.510 20.268 10.245
angles: 90.00 90.00 90.00
Space group Cmc2_1 (No. 36)
One atom of each set of equivalent atoms:
Dy1 0.000 0.110 0.000 [4 per cell]
Dy2 0.000 0.117 0.423 [4 per cell]
Y1 0.000 0.016 0.701 [4 per cell]
Y2 0.000 0.268 0.023 [4 per cell]
Y3 0.000 0.301 0.388 [4 per cell]
Y4 0.000 0.368 0.710 [4 per cell]
Y5 0.000 0.483 0.426 [4 per cell]
Er1 0.000 0.405 0.136 [4 per cell]
Sc1 0.000 0.189 0.707 [4 per cell]

For reference, total moment by record: 0.000 0.000 0.000 0.000 0.000 0.000 μB/atom.
For reference, final energy by record: -120.16 -61.10 -173.05 -237.40 -127.08 -203.90 eV per cell.